A relaxed structure of PuBiBrO6. Source: Alexandria via LeMat-Bulk, functional PBE-GGA.

Properties
**N(E_F)**: 13.85 states/eV/cell
**Total energy**: -6.86 eV/atom
**Formation energy from raw total energies**: -1.348 eV/atom

Unit cell a=8.0208 b=8.0208 c=8.0208 alpha=119.78 beta=115.91 gamma=93.80
With the nearest neighbours (Å) after each atom.
Element x y z (fractional)
Pu1 0.5000 0.0000 0.0000  6 O 1.95-2.09
Pu2 0.5000 0.5000 0.5000  6 O 1.95-2.09
Bi1 0.0000 0.0000 0.0000  6 O 2.27-2.36
Bi2 0.5000 0.0000 0.5000  6 O 2.27-2.36
Br1 0.0120 0.2620 0.7500  1 O 1.84
Br2 0.9880 0.7380 0.2500  1 O 1.84
O1 0.1562 0.9062 0.2500  1 Br 1.84
O2 0.2180 0.3289 0.2816  1 Pu 1.95
O3 0.2180 0.9364 0.8891  1 Pu 1.95
O4 0.4483 0.6983 0.7500  2 Pu 2.09
O5 0.4527 0.0636 0.7816  1 Pu 1.95
O6 0.4527 0.6711 0.3891  1 Pu 1.95
O7 0.5473 0.3289 0.6109  1 Pu 1.95
O8 0.5473 0.9364 0.2184  1 Pu 1.95
O9 0.5517 0.3017 0.2500  2 Pu 2.09
O10 0.7820 0.0636 0.1109  1 Pu 1.95
O11 0.7820 0.6711 0.7184  1 Pu 1.95
O12 0.8438 0.0938 0.7500  1 Br 1.84

---

A relaxed structure of RbBiBr2O. Source: Alexandria via LeMat-Bulk, functional PBE-GGA.

Properties
**Total energy**: -3.74 eV/atom
**Formation energy from raw total energies**: -1.108 eV/atom

Unit cell a=6.0234 b=6.0234 c=4.4113 alpha=90.00 beta=90.00 gamma=90.00
With the nearest neighbours (Å) after each atom.
Element x y z (fractional)
Rb1 0.0000 0.0000 0.0000  8 Br 3.73
Bi1 0.5000 0.5000 0.5000  2 O 2.21
Br1 0.0000 0.5000 0.5000  2 Bi 3.01
Br2 0.5000 0.0000 0.5000  2 Bi 3.01
O1 0.5000 0.5000 0.0000  2 Bi 2.21

---

A relaxed structure of Rb2BiBr2O2. Source: Alexandria via LeMat-Bulk, functional PBE-GGA.

Properties
**N(E_F)**: 1.02 states/eV/cell
**Total energy**: -4.00 eV/atom
**Formation energy from raw total energies**: -1.270 eV/atom

Unit cell a=9.5473 b=9.5473 c=9.5473 alpha=152.52 beta=152.52 gamma=39.25
With the nearest neighbours (Å) after each atom.
Element x y z (fractional)
Rb1 0.1174 0.1174 0.0000  4 O 3.10, 4 Br 3.32
Rb2 0.8826 0.8826 0.0000  4 O 3.10, 4 Br 3.32
Bi1 0.5000 0.5000 0.0000  4 O 2.27
Br1 0.3351 0.3351 0.0000  1 Bi 2.96, 4 Rb 3.32
Br2 0.6649 0.6649 0.0000  1 Bi 2.96, 4 Rb 3.32
O1 0.0000 0.5000 0.5000  2 Bi 2.27
O2 0.5000 0.0000 0.5000  2 Bi 2.27